Nd6Fe13Bi: optimized geometry, PBE-GGA.

Output
Its total energy is -7.223 eV/atom. The formation enthalpy at 0 K comes out at -98 meV per atom.

CIF file:
```
data_Nd6Fe13Bi
_chemical_formula_sum 'Nd24 Fe52 Bi4'
_symmetry_space_group_name_H-M 'I 4/m c m'
_symmetry_Int_Tables_number 140
_symmetry_space_group_name_Hall '-I 4 2c'
_cell_length_a 8.075
_cell_length_b 8.075
_cell_length_c 23.637
_cell_angle_alpha 90.00
_cell_angle_beta 90.00
_cell_angle_gamma 90.00
loop_
_atom_site_label
_atom_site_type_symbol
_atom_site_fract_x
_atom_site_fract_y
_atom_site_fract_z
_atom_site_occupancy
Nd1 Nd 0.000 0.000 0.102 1
Nd2 Nd 0.162 0.338 0.183 1
Fe1 Fe 0.000 0.500 0.000 1
Fe2 Fe 0.067 0.210 0.500 1
Fe3 Fe 0.114 0.386 0.408 1
Fe4 Fe 0.179 0.321 0.058 1
Bi1 Bi 0.000 0.000 0.250 1
```



Li3ZrPa3Se8: optimized geometry, PBE-GGA.

Output
Its total energy is -6.018 eV/atom. The formation energy from raw total energies comes out at -19.62 eV per formula unit.

CIF file:
```
data_Li3ZrPa3Se8
_chemical_formula_sum 'Li9 Zr3 Pa9 Se24'
_symmetry_space_group_name_H-M 'R -3 m'
_symmetry_Int_Tables_number 166
_symmetry_space_group_name_Hall '-R 3 2"'
_cell_length_a 7.9018
_cell_length_b 7.9018
_cell_length_c 20.1421
_cell_angle_alpha 90.00
_cell_angle_beta 90.00
_cell_angle_gamma 120.00
loop_
_atom_site_label
_atom_site_type_symbol
_atom_site_fract_x
_atom_site_fract_y
_atom_site_fract_z
_atom_site_occupancy
Li1 Li 0.0000 0.5000 0.0000 1
Zr1 Zr 0.0000 0.0000 0.5000 1
Pa1 Pa 0.0000 0.5000 0.5000 1
Se1 Se 0.0000 0.0000 0.2562 1
Se2 Se 0.0113 0.5056 0.2507 1
```



Dy2Ho2In: optimized geometry, PBE-GGA.

Output
Its total energy is -3.937 eV/atom. The polymorph energy (0 for the lowest one) is 0.255 eV per atom. The formation enthalpy at 0 K comes out at 282 meV per atom.

CIF file:
```
data_Dy2Ho2In
_chemical_formula_sum 'Dy4 Ho4 In2'
_symmetry_space_group_name_H-M 'I 4/m m m'
_symmetry_Int_Tables_number 139
_symmetry_space_group_name_Hall '-I 4 2'
_cell_length_a 4.316
_cell_length_b 4.316
_cell_length_c 17.231
_cell_angle_alpha 90.00
_cell_angle_beta 90.00
_cell_angle_gamma 90.00
loop_
_atom_site_label
_atom_site_type_symbol
_atom_site_fract_x
_atom_site_fract_y
_atom_site_fract_z
_atom_site_occupancy
Dy1 Dy 0.000 0.000 0.090 1
Ho1 Ho 0.000 0.500 0.250 1
In1 In 0.000 0.000 0.500 1
```



NaPmAg2Cl8: optimized geometry, PBE-GGA.

Output
Its total energy is -3.362 eV/atom. The formation energy from raw total energies comes out at -13.80 eV per formula unit.

CIF file:
```
data_NaPmAg2Cl8
_chemical_formula_sum 'Na2 Pm2 Ag4 Cl16'
_symmetry_space_group_name_H-M 'I -4'
_symmetry_Int_Tables_number 82
_symmetry_space_group_name_Hall 'I -4'
_cell_length_a 6.762
_cell_length_b 6.762
_cell_length_c 13.497
_cell_angle_alpha 90.00
_cell_angle_beta 90.00
_cell_angle_gamma 90.00
loop_
_atom_site_label
_atom_site_type_symbol
_atom_site_fract_x
_atom_site_fract_y
_atom_site_fract_z
_atom_site_occupancy
Na1 Na 0.000 0.000 0.000 1
Pm1 Pm 0.000 0.500 0.750 1
Ag1 Ag 0.000 0.000 0.500 1
Ag2 Ag 0.000 0.500 0.250 1
Cl1 Cl 0.160 0.302 0.573 1
Cl2 Cl 0.171 0.796 0.184 1
```



RbMg2CoGe: optimized geometry, PBE-GGA.

Output
Its total energy is -3.153 eV/atom. The formation enthalpy at 0 K comes out at 23 meV per atom.

CIF file:
```
data_RbMg2CoGe
_chemical_formula_sum 'Rb1 Mg2 Co1 Ge1'
_symmetry_space_group_name_H-M 'P 4/m m m'
_symmetry_Int_Tables_number 123
_symmetry_space_group_name_Hall '-P 4 2'
_cell_length_a 5.097
_cell_length_b 5.097
_cell_length_c 4.560
_cell_angle_alpha 90.00
_cell_angle_beta 90.00
_cell_angle_gamma 90.00
loop_
_atom_site_label
_atom_site_type_symbol
_atom_site_fract_x
_atom_site_fract_y
_atom_site_fract_z
_atom_site_occupancy
Rb1 Rb 0.000 0.000 0.000 1
Mg1 Mg 0.000 0.500 0.500 1
Co1 Co 0.500 0.500 0.500 1
Ge1 Ge 0.500 0.500 0.000 1
```